No. 1
Ti6Zn5Ir GGA-PBE relaxed; space group = No. 65
1.0
0.252 -4.391 -0.382
5.733 0.555 -2.608
2.896 -2.560 5.822
Zn Ir Ti
5 1 6
direct
0.670 0.500 0.660
0.332 0.000 0.335
0.000 0.500 0.000
0.668 0.000 0.665
0.330 0.500 0.340
0.000 0.000 0.000
0.835 0.753 0.329
0.835 0.247 0.329
0.500 0.250 0.000
0.500 0.750 0.000
0.165 0.753 0.671
0.165 0.247 0.671

=====

No. 2
Ti8Zn3Ir2 GGA-PBE relaxed; space group = No. 12
1.0
-0.461 -0.940 -5.229
5.537 -4.511 0.323
-6.328 -1.972 1.821
Ti Zn Ir
8 3 2
direct
0.898 0.594 0.188
0.102 0.406 0.812
0.822 0.196 0.392
0.178 0.804 0.608
0.593 0.562 0.756
0.593 0.195 0.756
0.407 0.805 0.244
0.407 0.438 0.244
0.500 0.000 0.000
0.000 0.169 0.000
0.000 0.831 0.000
0.310 0.201 0.402
0.690 0.799 0.598

=====

No. 3
Ti2Zn6Ir GGA-PBE relaxed; space group = No. 12
1.0
5.131 0.000 -0.421
0.000 7.221 0.000
-2.600 -3.610 3.986
Ti Zn Ir
2 6 1
direct
0.550 0.675 0.351
0.450 0.325 0.649
0.042 0.474 0.295
0.958 0.179 0.705
0.958 0.526 0.705
0.500 0.169 0.000
0.042 0.821 0.295
0.500 0.831 0.000
0.000 0.000 0.000

=====

No. 4
TiZnIr2 GGA-PBE relaxed; space group = No. 122
1.0
-5.249 -1.768 4.016
4.386 -2.250 4.743
-0.393 0.512 5.540
Zn Ir Ti
2 4 2
direct
0.000 0.000 0.000
0.750 0.250 0.500
0.607 0.125 0.250
0.143 0.625 0.250
0.375 0.393 0.750
0.875 0.857 0.750
0.500 0.500 0.000
0.250 0.750 0.500

=====

The records above yield spin magnetization values of 0.0 0.0 0.0 0.0 μB per cell, respectively.
The records above yield formation energy from the elements values of -3.7 -2.0 -0.6 -0.2 eV per formula unit, respectively.